[1]
Here is Al2CdGa2 at its PBEsol-relaxed geometry from Alexandria. Energies are from SCAN.

The energy relative to the elements is 125 meV/atom.

It has space group I4/mmm (No. 139), with a = 3.980 Å, b = 3.980 Å, c = 12.149 Å, α = 90.00°, β = 90.00° and γ = 90.00°. The asymmetric unit holds Al at (0.000, 0.000, 0.105), Cd at (0.000, 0.000, 0.500) and Ga at (0.000, 0.500, 0.250).

---

[2]
Here is Gd2AlCd at its PBEsol-relaxed geometry from Alexandria. Energies are from SCAN.

The energy relative to the elements is -401 meV/atom.

It has space group Fm-3m (No. 225), with a = 7.311 Å, b = 7.311 Å, c = 7.311 Å, α = 90.00°, β = 90.00° and γ = 90.00°. The asymmetric unit holds Gd at (0.250, 0.250, 0.250), Al at (0.000, 0.000, 0.000) and Cd at (0.000, 0.000, 0.500).

---

[3]
Here is Al2CdGe at its PBEsol-relaxed geometry from Alexandria. Energies are from SCAN.

The energy relative to the elements is 226 meV/atom.

It has space group I-42d (No. 122), with a = 7.607 Å, b = 7.607 Å, c = 5.492 Å, α = 90.00°, β = 90.00° and γ = 90.00°. The asymmetric unit holds Al at (0.207, 0.750, 0.125), Cd at (0.000, 0.000, 0.500) and Ge at (0.000, 0.000, 0.000).

---

[4]
Here is AlCd3Ge at its PBEsol-relaxed geometry from Alexandria. Energies are from SCAN.

The energy relative to the elements is 577 meV/atom.

It has space group Pm-3m (No. 221), with a = 5.107 Å, b = 5.107 Å, c = 5.107 Å, α = 90.00°, β = 90.00° and γ = 90.00°. The asymmetric unit holds Al at (0.000, 0.000, 0.000), Cd at (0.000, 0.500, 0.500) and Ge at (0.500, 0.500, 0.500).

---

[5]
Here is AlCdGeOs2 at its PBEsol-relaxed geometry from Alexandria. Energies are from SCAN.

The energy relative to the elements is 1376 meV/atom.

It has space group P4/mmm (No. 123), with a = 4.511 Å, b = 4.511 Å, c = 4.597 Å, α = 90.00°, β = 90.00° and γ = 90.00°. The asymmetric unit holds Al at (0.000, 0.000, 0.000), Cd at (0.500, 0.500, 0.500), Ge at (0.000, 0.000, 0.500) and Os at (0.000, 0.500, 0.000).

---

[6]
Here is AlCd3H at its PBEsol-relaxed geometry from Alexandria. Energies are from SCAN.

The total energy comes out at -20.091 eV per atom.

It has space group Pm-3m (No. 221), with a = 4.432 Å, b = 4.432 Å, c = 4.432 Å, α = 90.00°, β = 90.00° and γ = 90.00°. The asymmetric unit holds Al at (0.000, 0.000, 0.000), Cd at (0.000, 0.500, 0.500) and H at (0.500, 0.500, 0.500).

---

> Number 6 is which compound?

AlCd3H

---

> Which formula does entry 6 have?

AlCd3H

---

> Which formula does entry 4 have?

AlCd3Ge